LaTe2AuN: optimized geometry, PBE.

## Properties
The calculation puts the energy above the lowest structure with this stoichiometry at 426 meV/atom. The final energy comes out at -0.3010 Ry/atom. Its energy relative to the elements, uncorrected is 0.47 eV/atom. For the density of states at the Fermi level, the calculation gives 4.168 states/eV per cell.

abc: 6.428 6.428 3.965
angles: 90.00 90.00 90.00
Fractional positions:
La 0.000 0.000 0.000
Te 0.000 0.500 0.000
Te 0.500 0.000 0.000
Au 0.500 0.500 0.500
N 0.000 0.000 0.500